## Th6CoRh2Se3 (PBE-GGA)

Data for Th6CoRh2Se3 after structural relaxation.

Electronic total energy, eV per atom: -7.5216
N(E_F), states/eV/atom: 0.911
M_tot, μB/f.u.: 0.0
ΔE_f (raw), kJ/mol of formula units: -1300

Unit cell a=7.0813 b=12.2553 c=7.6854 alpha=90.00 beta=107.94 gamma=90.00
Closest atoms and distances in Å follow each position.
Space group C2/m (No. 12)
One atom of each set of equivalent atoms:
Th 0.2334 0.1616 0.2152 (multiplicity 8)  1 Co 2.78, 2 Rh 2.87
Th 0.2488 0.5000 0.2166 (multiplicity 4)  1 Co 2.79, 2 Rh 2.87
Co 0.0000 0.0000 0.0000 (multiplicity 2)  6 Th 2.78-2.79
Rh 0.0000 0.3336 0.0000 (multiplicity 4)  6 Th 2.87
Se 0.0000 0.1690 0.5000 (multiplicity 4)  6 Th 3.12-3.18
Se 0.0000 0.5000 0.5000 (multiplicity 2)  6 Th 3.12-3.20

=====

## Th8CoRh3Se4 (PBE-GGA)

Data for Th8CoRh3Se4 after structural relaxation.

Electronic total energy, eV per atom: -7.5507
N(E_F), states/eV/atom: 0.803
M_tot, μB/f.u.: 0.0
ΔE_f (raw), kJ/mol of formula units: -1771

Unit cell a=8.1725 b=8.1725 c=21.9856 alpha=90.00 beta=90.00 gamma=120.00
Closest atoms and distances in Å follow each position.
Space group R-3m (No. 166, hexagonal axes)
One atom of each set of equivalent atoms:
Th 0.0000 0.0000 0.2408 (multiplicity 6)  3 Rh 2.87, 3 Se 3.11
Th 0.0079 0.5039 0.2387 (multiplicity 18)  1 Co 2.80, 2 Rh 2.87, 2 Se 3.12
Co 0.0000 0.0000 0.5000 (multiplicity 3)  6 Th 2.80
Rh 0.0000 0.5000 0.5000 (multiplicity 9)  6 Th 2.87
Se 0.0000 0.0000 0.0000 (multiplicity 3)  6 Th 3.19
Se 0.0000 0.5000 0.0000 (multiplicity 9)  6 Th 3.11-3.12

=====

## Tl2CoRh2Se6 (PBE-GGA)

Data for Tl2CoRh2Se6 after structural relaxation.

Electronic total energy, eV per atom: -4.6748
N(E_F), states/eV/atom: 0.315
M_tot, μB/f.u.: 0.0
ΔE_f (raw), kJ/mol of formula units: -383

Unit cell a=6.4720 b=11.2388 c=7.5456 alpha=90.00 beta=107.75 gamma=90.00
Closest atoms and distances in Å follow each position.
Space group C2/m (No. 12)
One atom of each set of equivalent atoms:
Tl 0.0000 0.1687 0.0000 (multiplicity 4)  6 Se 3.17-3.22
Co 0.0000 0.0000 0.5000 (multiplicity 2)  6 Se 2.41-2.42
Rh 0.0000 0.3299 0.5000 (multiplicity 4)  6 Se 2.49-2.55
Se 0.2220 0.1606 0.6713 (multiplicity 8)  1 Co 2.42, 2 Rh 2.49-2.52
Se 0.2398 0.5000 0.6706 (multiplicity 4)  1 Co 2.41, 2 Rh 2.55

=====

## CoRh2WSe (PBE-GGA)

Data for CoRh2WSe after structural relaxation.

Electronic total energy, eV per atom: -6.3283
N(E_F), states/eV/atom: 1.317
M_tot, μB/f.u.: 2.2
ΔE_f (raw), kJ/mol of formula units: 637

Unit cell a=4.7516 b=4.7516 c=4.7535 alpha=90.00 beta=90.00 gamma=90.00
Closest atoms and distances in Å follow each position.
Space group P4/mmm (No. 123)
One atom of each set of equivalent atoms:
Co 0.0000 0.0000 0.0000 (multiplicity 1)  4 Se 3.36, 8 Rh 3.36
Rh 0.0000 0.5000 0.5000 (multiplicity 2)  2 W 2.38
W 0.5000 0.5000 0.5000 (multiplicity 1)  4 Rh 2.38, 2 Se 2.38
Se 0.5000 0.5000 0.0000 (multiplicity 1)  2 W 2.38

=====

## YCoRhSe2 (PBE-GGA)

Data for YCoRhSe2 after structural relaxation.

Electronic total energy, eV per atom: -5.2304
N(E_F), states/eV/atom: 1.449
M_tot, μB/f.u.: 2.2
ΔE_f (raw), kJ/mol of formula units: 168

Unit cell a=4.8970 b=4.8970 c=5.0261 alpha=90.00 beta=90.00 gamma=90.00
Closest atoms and distances in Å follow each position.
Space group P4/mmm (No. 123)
One atom of each set of equivalent atoms:
Y 0.0000 0.0000 0.0000 (multiplicity 1)  2 Rh 2.51
Co 0.5000 0.5000 0.0000 (multiplicity 1)  4 Y 3.46, 8 Se 3.51
Rh 0.0000 0.0000 0.5000 (multiplicity 1)  4 Se 2.45, 2 Y 2.51
Se 0.0000 0.5000 0.5000 (multiplicity 2)  2 Rh 2.45

=====

## CoSi4Rh (PBE-GGA)

Data for CoSi4Rh after structural relaxation.

Electronic total energy, eV per atom: -5.6440
N(E_F), states/eV/atom: 0.571
M_tot, μB/f.u.: 0.0
ΔE_f (raw), kJ/mol of formula units: 221

Unit cell a=6.8027 b=6.8027 c=6.8027 alpha=90.00 beta=90.00 gamma=90.00
Closest atoms and distances in Å follow each position.
Space group F-43m (No. 216)
One atom of each set of equivalent atoms:
Co 0.0000 0.0000 0.0000 (multiplicity 4)  12 Si 2.82, 4 Rh 2.95
Si 0.1253 0.1253 0.3747 (multiplicity 16)  6 Si 2.40-2.41
Rh 0.2500 0.2500 0.7500 (multiplicity 4)  12 Si 2.82, 4 Co 2.95

=====

## Co4Si2Rh (PBE-GGA)

Data for Co4Si2Rh after structural relaxation.

Electronic total energy, eV per atom: -6.9426
N(E_F), states/eV/atom: 0.913
M_tot, μB/f.u.: 4.5
ΔE_f (raw), kJ/mol of formula units: -191

Unit cell a=6.6964 b=6.6964 c=3.7174 alpha=90.00 beta=90.00 gamma=90.00
Closest atoms and distances in Å follow each position.
Space group P4_2/mnm (No. 136)
One atom of each set of equivalent atoms:
Co 0.0943 0.3458 0.0000 (multiplicity 8)  3 Si 2.23-2.31, 2 Co 2.38-2.42
Si 0.2092 0.7908 0.0000 (multiplicity 4)  6 Co 2.23-2.31
Rh 0.0000 0.0000 0.5000 (multiplicity 2)  6 Si 2.72-2.75, 12 Co 2.91-3.04

=====

## CoSi2Rh2 (PBE-GGA)

Data for CoSi2Rh2 after structural relaxation.

Electronic total energy, eV per atom: -6.9166
N(E_F), states/eV/atom: 0.518
M_tot, μB/f.u.: 1.6
ΔE_f (raw), kJ/mol of formula units: -186
Offset from the most stable computed form, eV/atom: 0.1157

Unit cell a=7.0031 b=7.0031 c=2.7302 alpha=90.00 beta=90.00 gamma=90.00
Closest atoms and distances in Å follow each position.
Space group P4/mbm (No. 127)
One atom of each set of equivalent atoms:
Co 0.0000 0.0000 0.0000 (multiplicity 2)  4 Rh 2.70, 2 Co 2.73, 8 Si 2.97
Si 0.1572 0.3428 0.5000 (multiplicity 4)  6 Rh 2.41-2.50
Rh 0.1419 0.6419 0.0000 (multiplicity 4)  6 Si 2.41-2.50, 2 Co 2.70

=====

## Co2Si2Rh (PBE-GGA)

Data for Co2Si2Rh after structural relaxation.

Electronic total energy, eV per atom: -6.5897
N(E_F), states/eV/atom: 0.826
M_tot, μB/f.u.: 0.0
ΔE_f (raw), kJ/mol of formula units: -52

Unit cell a=3.4937 b=3.4937 c=10.2696 alpha=90.00 beta=90.00 gamma=90.00
Closest atoms and distances in Å follow each position.
Space group I4/mmm (No. 139)
One atom of each set of equivalent atoms:
Co 0.0000 0.0000 0.1096 (multiplicity 4)  1 Co 2.25, 4 Si 2.27
Si 0.0000 0.5000 0.2500 (multiplicity 4)  4 Co 2.27, 4 Si 2.47
Rh 0.0000 0.0000 0.5000 (multiplicity 2)  8 Co 2.71

=====

## Co3SiRh (PBE-GGA)

Data for Co3SiRh after structural relaxation.

Electronic total energy, eV per atom: -5.3659
N(E_F), states/eV/atom: 1.196
M_tot, μB/f.u.: 6.7
ΔE_f (raw), kJ/mol of formula units: 701
Offset from the most stable computed form, eV/atom: 0.7406

Unit cell a=4.5037 b=4.5037 c=4.5037 alpha=90.00 beta=90.00 gamma=90.00
Closest atoms and distances in Å follow each position.
Space group Pm-3m (No. 221)
One atom of each set of equivalent atoms:
Co 0.0000 0.0000 0.5000 (multiplicity 3)  2 Rh 2.25
Si 0.5000 0.5000 0.5000 (multiplicity 1)  12 Co 3.18
Rh 0.0000 0.0000 0.0000 (multiplicity 1)  6 Co 2.25

=====

## Co2Si2Rh (PBE-GGA)

Data for Co2Si2Rh after structural relaxation.

Electronic total energy, eV per atom: -7.0052
N(E_F), states/eV/atom: 0.847
M_tot, μB/f.u.: 0.0
ΔE_f (raw), kJ/mol of formula units: -252

Unit cell a=6.6004 b=6.6004 c=2.6739 alpha=90.00 beta=90.00 gamma=90.00
Closest atoms and distances in Å follow each position.
Space group P4/mbm (No. 127)
One atom of each set of equivalent atoms:
Co 0.1432 0.3568 0.0000 (multiplicity 4)  6 Si 2.34-2.36
Si 0.1517 0.6517 0.5000 (multiplicity 4)  6 Co 2.34-2.36, 2 Rh 2.51
Rh 0.0000 0.0000 0.5000 (multiplicity 2)  4 Si 2.51, 2 Rh 2.67

=====

## Co3SiRh (PBE-GGA)

Data for Co3SiRh after structural relaxation.

Electronic total energy, eV per atom: -6.1066
N(E_F), states/eV/atom: 1.661
M_tot, μB/f.u.: 4.8
ΔE_f (raw), kJ/mol of formula units: 343
Offset from the most stable computed form, eV/atom: 0.0000

Unit cell a=4.1372 b=4.1372 c=4.1372 alpha=90.00 beta=90.00 gamma=90.00
Closest atoms and distances in Å follow each position.
Space group Pm-3m (No. 221)
One atom of each set of equivalent atoms:
Co 0.0000 0.0000 0.5000 (multiplicity 3)  2 Si 2.07
Si 0.0000 0.0000 0.0000 (multiplicity 1)  6 Co 2.07
Rh 0.5000 0.5000 0.5000 (multiplicity 1)  12 Co 2.93

=====

## CoSiRh3 (PBE-GGA)

Data for CoSiRh3 after structural relaxation.

Electronic total energy, eV per atom: -5.8676
N(E_F), states/eV/atom: 0.800
M_tot, μB/f.u.: 2.8
ΔE_f (raw), kJ/mol of formula units: 506

Unit cell a=4.4237 b=4.4237 c=4.4237 alpha=90.00 beta=90.00 gamma=90.00
Closest atoms and distances in Å follow each position.
Space group Pm-3m (No. 221)
One atom of each set of equivalent atoms:
Co 0.0000 0.0000 0.0000 (multiplicity 1)  6 Rh 2.21
Si 0.5000 0.5000 0.5000 (multiplicity 1)  12 Rh 3.13
Rh 0.0000 0.0000 0.5000 (multiplicity 3)  2 Co 2.21

=====

## CoSi2Rh2 (PBE-GGA)

Data for CoSi2Rh2 after structural relaxation.

Electronic total energy, eV per atom: -7.0323
N(E_F), states/eV/atom: 0.631
M_tot, μB/f.u.: 1.5
ΔE_f (raw), kJ/mol of formula units: -242
Offset from the most stable computed form, eV/atom: 0.0000

Unit cell a=6.8947 b=6.8947 c=2.7664 alpha=90.00 beta=90.00 gamma=90.00
Closest atoms and distances in Å follow each position.
Space group P4/mbm (No. 127)
One atom of each set of equivalent atoms:
Co 0.0000 0.0000 0.0000 (multiplicity 2)  4 Si 2.62, 2 Co 2.77
Si 0.1521 0.3479 0.0000 (multiplicity 4)  6 Rh 2.40-2.48, 2 Co 2.62
Rh 0.1471 0.6471 0.5000 (multiplicity 4)  6 Si 2.40-2.48

=====

## CoSiSnRh2 (PBE-GGA)

Data for CoSiSnRh2 after structural relaxation.

Electronic total energy, eV per atom: -4.9089
N(E_F), states/eV/atom: 1.107
M_tot, μB/f.u.: 2.3
ΔE_f (raw), kJ/mol of formula units: 646

Unit cell a=4.8368 b=4.8368 c=4.6295 alpha=90.00 beta=90.00 gamma=90.00
Closest atoms and distances in Å follow each position.
Space group P4/mmm (No. 123)
One atom of each set of equivalent atoms:
Co 0.0000 0.0000 0.0000 (multiplicity 1)  2 Sn 2.31
Si 0.5000 0.5000 0.0000 (multiplicity 1)  8 Rh 3.35, 4 Co 3.42
Sn 0.0000 0.0000 0.5000 (multiplicity 1)  2 Co 2.31, 4 Rh 2.42
Rh 0.0000 0.5000 0.5000 (multiplicity 2)  2 Sn 2.42

=====

## Sr2CoSiRh (PBE-GGA)

Data for Sr2CoSiRh after structural relaxation.

Electronic total energy, eV per atom: -4.1690
N(E_F), states/eV/atom: 0.998
M_tot, μB/f.u.: 3.2
ΔE_f (raw), kJ/mol of formula units: 231

Unit cell a=5.7035 b=5.7035 c=4.5362 alpha=90.00 beta=90.00 gamma=90.00
Closest atoms and distances in Å follow each position.
Space group P4/mmm (No. 123)
One atom of each set of equivalent atoms:
Sr 0.0000 0.5000 0.0000 (multiplicity 2)  2 Rh 2.85
Co 0.0000 0.0000 0.5000 (multiplicity 1)  2 Rh 2.27
Si 0.5000 0.5000 0.5000 (multiplicity 1)  8 Sr 3.64, 4 Co 4.03
Rh 0.0000 0.0000 0.0000 (multiplicity 1)  2 Co 2.27

=====

## Co2SiTeRh (PBE-GGA)

Data for Co2SiTeRh after structural relaxation.

Electronic total energy, eV per atom: -4.8683
N(E_F), states/eV/atom: 1.274
M_tot, μB/f.u.: 4.3
ΔE_f (raw), kJ/mol of formula units: 558

Unit cell a=4.6435 b=4.6435 c=4.9255 alpha=90.00 beta=90.00 gamma=90.00
Closest atoms and distances in Å follow each position.
Space group P4/mmm (No. 123)
One atom of each set of equivalent atoms:
Co 0.0000 0.5000 0.0000 (multiplicity 2)  2 Rh 2.32
Si 0.0000 0.0000 0.5000 (multiplicity 1)  4 Te 3.28, 8 Co 3.38
Te 0.5000 0.5000 0.5000 (multiplicity 1)  2 Rh 2.46
Rh 0.5000 0.5000 0.0000 (multiplicity 1)  4 Co 2.32, 2 Te 2.46

=====

## ThCoSi2Rh2 (PBE-GGA)

Data for ThCoSi2Rh2 after structural relaxation.

Electronic total energy, eV per atom: -7.2611
N(E_F), states/eV/atom: 0.554
M_tot, μB/f.u.: 0.0
ΔE_f (raw), kJ/mol of formula units: -337

Unit cell a=4.3110 b=4.3110 c=5.4351 alpha=90.00 beta=90.00 gamma=90.00
Closest atoms and distances in Å follow each position.
Space group P4/mmm (No. 123)
One atom of each set of equivalent atoms:
Th 0.0000 0.0000 0.0000 (multiplicity 1)  2 Co 2.72
Co 0.0000 0.0000 0.5000 (multiplicity 1)  4 Si 2.16
Si 0.0000 0.5000 0.5000 (multiplicity 2)  2 Co 2.16
Rh 0.5000 0.5000 0.2463 (multiplicity 2)  4 Si 2.56, 2 Rh 2.68-2.76

=====

## Th2CoSi4Rh3 (PBE-GGA)

Data for Th2CoSi4Rh3 after structural relaxation.

Electronic total energy, eV per atom: -7.5514
N(E_F), states/eV/atom: 0.747
M_tot, μB/f.u.: 0.0
ΔE_f (raw), kJ/mol of formula units: -948

Unit cell a=4.1421 b=4.1421 c=9.9243 alpha=90.00 beta=90.00 gamma=90.00
Closest atoms and distances in Å follow each position.
Space group P-4m2 (No. 115)
One atom of each set of equivalent atoms:
Th 0.0000 0.5000 0.2500 (multiplicity 2)  6 Rh 3.17-3.23, 8 Si 3.18-3.23, 2 Co 3.23
Co 0.0000 0.0000 0.5000 (multiplicity 1)  4 Si 2.42
Si 0.0000 0.0000 0.0000 (multiplicity 1)  4 Rh 2.43
Si 0.0000 0.5000 0.6260 (multiplicity 2)  2 Co 2.42, 3 Rh 2.42-2.44
Si 0.5000 0.5000 0.0000 (multiplicity 1)  4 Rh 2.43
Rh 0.0000 0.5000 0.8720 (multiplicity 2)  5 Si 2.43-2.44
Rh 0.5000 0.5000 0.5000 (multiplicity 1)  4 Si 2.42

=====

## ThCo2Si2Rh (PBE-GGA)

Data for ThCo2Si2Rh after structural relaxation.

Electronic total energy, eV per atom: -6.6749
N(E_F), states/eV/atom: 1.114
M_tot, μB/f.u.: 0.8
ΔE_f (raw), kJ/mol of formula units: -21

Unit cell a=4.4917 b=4.4917 c=5.2974 alpha=90.00 beta=90.00 gamma=90.00
Closest atoms and distances in Å follow each position.
Space group P4/mmm (No. 123)
One atom of each set of equivalent atoms:
Th 0.0000 0.0000 0.0000 (multiplicity 1)  2 Rh 2.65
Co 0.5000 0.5000 0.2562 (multiplicity 2)  2 Co 2.58-2.71, 4 Si 2.59
Si 0.0000 0.5000 0.5000 (multiplicity 2)  2 Rh 2.25
Rh 0.0000 0.0000 0.5000 (multiplicity 1)  4 Si 2.25